Crystalline Nd2Sc2CI2Cl3 at its relaxed geometry. Source: the Open Quantum Materials Database, functional GGA-PBE.

```
Nd2Sc2CI2Cl3
1.0
-4.782 3.077 -8.471
-4.559 -0.663 -9.104
-6.318 -1.219 4.975
Sc I Cl Nd C
2 2 3 2 1
direct
0.386 0.386 0.936
0.614 0.614 0.064
0.837 0.837 0.163
0.163 0.163 0.837
0.856 0.856 0.712
0.500 0.500 0.500
0.144 0.144 0.288
0.001 0.001 0.785
0.999 0.999 0.215
0.500 0.500 0.000
```

Summary:
Volume (Å³/cell): 304.0
Electronic total energy (eV/cell): -54.34

***

Crystalline Nd2Sc2CI2Cl3 at its relaxed geometry. Source: the Open Quantum Materials Database, functional GGA-PBE.

```
Nd2Sc2CI2Cl3
1.0
-3.273 7.239 4.810
-5.819 6.943 2.047
-3.459 -5.941 3.822
Nd I Cl Sc C
2 2 3 2 1
direct
0.362 0.362 0.925
0.638 0.638 0.075
0.168 0.168 0.779
0.832 0.832 0.221
0.500 0.500 0.500
0.138 0.138 0.337
0.862 0.862 0.663
0.002 0.002 0.807
0.998 0.998 0.193
0.500 0.500 0.000
```

Summary:
Volume (Å³/cell): 264.9
Electronic total energy (eV/cell): -53.74

***

Crystalline Nd2Sc2CICl4 at its relaxed geometry. Source: the Open Quantum Materials Database, functional GGA-PBE.

```
Nd2Sc2CICl4
1.0
8.576 -1.874 0.000
8.576 1.874 0.000
-2.238 0.000 7.758
Sc Nd Cl I C
2 2 4 1 1
direct
0.000 0.000 0.185
0.000 0.000 0.815
0.650 0.650 0.090
0.350 0.350 0.910
0.156 0.156 0.349
0.844 0.844 0.651
0.162 0.162 0.832
0.838 0.838 0.168
0.500 0.500 0.500
0.500 0.500 0.000
```

Summary:
Volume (Å³/cell): 249.4
Electronic total energy (eV/cell): -55.59

***

Crystalline Nd2Sc2CI3Cl2 at its relaxed geometry. Source: the Open Quantum Materials Database, functional GGA-PBE.

```
Nd2Sc2CI3Cl2
1.0
9.113 -1.926 0.000
9.113 1.926 0.000
-1.590 0.000 8.044
I C Cl Nd Sc
3 1 2 2 2
direct
0.168 0.168 0.787
0.500 0.500 0.500
0.832 0.832 0.213
0.500 0.500 0.000
0.142 0.142 0.322
0.858 0.858 0.678
0.638 0.638 0.071
0.362 0.362 0.929
0.999 0.999 0.182
0.001 0.001 0.818
```

Summary:
Volume (Å³/cell): 282.3
Electronic total energy (eV/cell): -52.53

***

Crystalline Nd2Sc2CI3Cl2 at its relaxed geometry. Source: the Open Quantum Materials Database, functional GGA-PBE.

```
Nd2Sc2CI3Cl2
1.0
-8.720 -1.440 4.932
-7.203 -4.979 5.077
5.327 2.557 6.642
I Cl Sc Nd C
3 2 2 2 1
direct
0.500 0.500 0.500
0.836 0.836 0.706
0.164 0.164 0.294
0.853 0.853 0.128
0.147 0.147 0.872
0.615 0.615 0.046
0.385 0.385 0.954
0.000 0.000 0.804
0.000 0.000 0.196
0.500 0.500 0.000
```

Summary:
Volume (Å³/cell): 333.7
Electronic total energy (eV/cell): -52.85

***

Crystalline Nd2Sc2CICl4 at its relaxed geometry. Source: the Open Quantum Materials Database, functional GGA-PBE.

```
Nd2Sc2CICl4
1.0
-4.224 -6.392 5.620
-1.011 -5.802 7.456
-3.190 7.833 3.065
Cl Sc C Nd I
4 2 1 2 1
direct
0.843 0.843 0.733
0.159 0.159 0.889
0.157 0.157 0.267
0.841 0.841 0.111
0.377 0.377 0.938
0.623 0.623 0.062
0.500 0.500 0.000
0.999 0.999 0.195
0.001 0.001 0.805
0.500 0.500 0.500
```

Summary:
Volume (Å³/cell): 305.5
Electronic total energy (eV/cell): -55.82